Model i:
VASP calculation (PBE) on a relaxed CsHg2Br5 crystal.

```
CsHg2Br5
1.0
8.829 0.000 0.000
0.000 6.506 0.000
-3.851 0.000 11.016
Cs Hg Br
2 4 10
Cartesian
-0.724 1.626 2.862
5.702 4.879 8.154
1.191 4.879 6.201
3.382 4.879 1.668
1.596 1.626 9.348
3.787 1.626 4.814
-0.932 4.879 4.809
0.960 4.879 1.055
-0.894 1.626 9.490
1.436 1.626 6.216
3.144 1.626 2.312
1.834 4.879 8.704
3.542 4.879 4.800
5.872 4.879 1.525
4.018 1.626 9.961
5.910 1.626 6.206
```

Computed properties:
Calculated density ... 4900 kg/m3
Total magnetization ... 0.0 μB/f.u.
D(E_F) ... 0.00 states/eV/f.u.

=====

Model ii:
VASP calculation (PBE) on a relaxed CsHg2Br5 crystal.

```
CsHg2Br5
1.0
3.263 -9.521 0.000
3.263 9.521 0.000
0.000 0.000 12.408
Cs Hg Br
2 4 10
Cartesian
3.263 7.688 9.306
3.263 -7.688 3.102
3.263 5.617 1.002
3.263 5.617 5.201
3.263 -5.617 7.206
3.263 -5.617 11.405
3.263 8.144 1.006
3.263 8.144 5.198
3.263 4.070 7.305
3.263 4.070 11.306
3.263 3.839 3.102
3.263 -3.839 9.306
3.263 -4.070 1.101
3.263 -4.070 5.103
3.263 -8.144 7.209
3.263 -8.144 11.402
```

Computed properties:
Calculated density ... 4022 kg/m3
Total magnetization ... 0.0 μB/f.u.
D(E_F) ... 0.00 states/eV/f.u.

=====

Each structure's energy above the most stable one, in eV/atom: model i 0.000; model ii 0.046.

=====

Model i:
VASP calculation (PBE) on a relaxed CsHgBr crystal.

```
CsHgBr
1.0
5.030 0.000 0.000
0.000 7.712 0.000
-0.001 0.000 5.030
Cs Hg Br
1 1 1
Cartesian
0.000 0.000 0.000
2.462 3.856 2.420
2.514 0.000 2.515
```

Computed properties:
Calculated density ... 3518 kg/m3
Total magnetization ... 0.0 μB/f.u.
D(E_F) ... 0.00 states/eV/f.u.

=====

Model ii:
VASP calculation (PBE) on a relaxed CsHgBr crystal.

```
CsHgBr
1.0
5.540 0.000 0.000
-2.770 4.798 0.000
0.000 0.000 5.661
Cs Hg Br
1 1 1
Cartesian
0.000 0.000 0.000
0.000 3.198 2.392
2.770 1.599 4.117
```

Computed properties:
Calculated density ... 4562 kg/m3
Total magnetization ... 0.0 μB/f.u.
D(E_F) ... 0.00 states/eV/f.u.

=====

Model iii:
VASP calculation (PBE) on a relaxed CsHgBr crystal.

```
CsHgBr
1.0
0.000 4.246 4.246
4.246 0.000 4.246
4.246 4.246 0.000
Cs Hg Br
1 1 1
Cartesian
0.000 0.000 0.000
4.246 4.246 4.246
6.369 6.369 6.369
```

Computed properties:
Calculated density ... 4483 kg/m3
Total magnetization ... 0.0 μB/f.u.
D(E_F) ... 0.00 states/eV/f.u.

=====

Each structure's energy above the most stable one, in eV/atom: model i 0.006; model ii 0.023; model iii 0.000.

=====

Model i:
VASP calculation (PBE) on a relaxed Cs2HgBr4 crystal.

```
Cs2HgBr4
1.0
-2.877 2.877 8.891
2.877 -2.877 8.891
2.877 2.877 -8.891
Cs Hg Br
2 1 4
Cartesian
0.000 0.000 2.443
0.000 0.000 15.340
0.000 0.000 8.891
2.877 0.000 0.000
0.000 0.000 6.107
0.000 2.877 0.000
0.000 0.000 11.676
```

Computed properties:
Calculated density ... 4432 kg/m3
Total magnetization ... 0.0 μB/f.u.

=====

Model ii:
VASP calculation (PBE) on a relaxed Cs2HgBr4 crystal.

```
Cs2HgBr4
1.0
8.013 0.000 0.000
0.000 10.418 0.000
-7.736 0.000 14.753
Cs Hg Br
8 4 16
Cartesian
-2.135 0.069 4.817
-6.002 5.140 12.193
2.178 1.186 1.450
-1.690 4.023 8.827
1.967 6.395 5.926
-1.901 9.232 13.303
6.280 5.278 2.560
2.412 10.350 9.936
2.050 7.485 1.176
-1.818 8.142 8.553
2.096 2.276 6.200
-1.772 2.933 13.577
-2.308 6.930 6.208
-6.176 8.697 13.585
-3.524 7.266 10.437
0.343 8.361 3.061
-2.013 0.352 8.492
1.854 4.857 1.116
-4.143 1.924 12.823
-0.275 3.285 5.447
0.553 7.133 9.306
4.420 8.494 1.930
-1.577 5.561 13.637
2.291 10.066 6.261
-0.066 2.057 11.692
3.802 3.152 4.316
6.453 1.721 1.168
2.586 3.488 8.545
```

Computed properties:
Calculated density ... 4239 kg/m3
Total magnetization ... 0.0 μB/f.u.
D(E_F) ... 0.00 states/eV/f.u.

=====

Each structure's energy above the most stable one, in eV/atom: model i 0.029; model ii 0.000.

=====

Model i:
VASP calculation (PBE) on a relaxed Cs2HgBr crystal.

```
Cs2HgBr
1.0
2.628 -15.196 0.000
2.628 15.196 0.000
0.000 0.000 5.316
Cs Hg Br
4 2 2
Cartesian
2.628 13.073 3.987
2.628 5.737 3.987
2.628 -5.737 1.329
2.628 -13.073 1.329
2.628 0.784 3.987
2.628 -0.784 1.329
2.628 9.374 3.987
2.628 -9.374 1.329
```

Computed properties:
Calculated density ... 4273 kg/m3
Total magnetization ... 0.0 μB/f.u.
D(E_F) ... 1.43 states/eV/f.u.

=====

Model ii:
VASP calculation (PBE) on a relaxed Cs2HgBr crystal.

```
Cs2HgBr
1.0
2.560 1.478 9.664
-2.560 1.478 9.664
0.000 -2.957 9.664
Cs Hg Br
2 1 1
Cartesian
0.000 0.000 0.000
0.000 0.000 5.301
0.000 0.000 12.303
0.000 0.000 17.135
```

Computed properties:
Calculated density ... 4133 kg/m3
Total magnetization ... 0.5 μB/f.u.
D(E_F) ... 2.86 states/eV/f.u.

=====

Each structure's energy above the most stable one, in eV/atom: model i 0.000; model ii 0.077.